# 1
DFT (PBE with a Hubbard U) results for an optimized crystal structure of NiBrO2.

## Properties
DOS(E_F) = 1.449 states/eV/atom
V = 44.6 Å³ per cell
DFT total energy = -2.2834 eV per atom

Cell: 3.9807 3.9807 3.9807 Å, 60.00 60.00 60.00°
Last column: nearest neighbours and their distance in Å.
Element x y z (fractional)
Ni  0.0000  0.0000  0.0000  8 O 2.44
O  0.2500  0.2500  0.2500  4 Br 2.44, 4 Ni 2.44
O  0.7500  0.7500  0.7500  4 Br 2.44, 4 Ni 2.44
Br  0.5000  0.5000  0.5000  8 O 2.44

# 2
DFT (PBE with a Hubbard U) results for an optimized crystal structure of NiPBrO2.

## Properties
DOS(E_F) = 0.316 states/eV/atom
V = 74.8 Å³ per cell
Polymorph energy (0 for the lowest one) = 0.472 eV per atom
DFT total energy = -3.0374 eV per atom

Cell: 3.7601 3.7601 5.2933 Å, 90.00 90.00 90.00°
Last column: nearest neighbours and their distance in Å.
Element x y z (fractional)
Ni  0.5000  0.5000  0.5000  4 P 2.66
O  0.0000  0.5000  0.0000  2 Br 1.88
O  0.5000  0.0000  0.0000  2 Br 1.88
Br  0.0000  0.0000  0.0000  4 O 1.88
P  0.0000  0.0000  0.5000  2 Br 2.65, 4 Ni 2.66